A plane-wave DFT calculation with GGA+U was carried out for a relaxed YMo3O crystal.

Cell lengths 5.624, 5.624, 5.624 Å; angles 90.00, 90.00, 90.00 degrees
Site moments in Bohr magnetons follow the coordinates.
Fractional coordinates of all 5 atoms:
Y 0.000 0.000 0.000  -0.03
Mo 0.000 0.500 0.000  3.78
Mo 0.000 0.000 0.500  3.60
Mo 0.500 0.000 0.000  4.05
O 0.500 0.500 0.500  1.00

## Properties
Space-group type: Pm-3m (221)
Relative energy among the computed polymorphs (meV per atom): 2170.7
Size of the total moment (μB per atom): 2.8896
Electronic total energy (eV/atom): -3.768